A relaxed RbMoOF2 crystal, computed with GGA+U.

- total energy (eV per atom) = -3.66
- space-group type = P4/mmm, No. 123

Cell and atoms, written as extended XYZ:
```
5
Lattice="-0.0773 0.3670 4.8101 4.0339 -2.6333 0.2658 2.4237 3.6883 -0.2424" Properties=species:S:1:pos:R:3 pbc="T T T"
Mo 3.1901 0.7110 2.4167
O 1.2118 1.8442 -0.1212
Rb 0.0000 0.0000 0.0000
F 2.0170 -1.3167 0.1329
F -0.0387 0.1835 2.4050
```